Entry P
VASP calculation (PBE) on crystalline Pr4Sm2Y5 at its relaxed geometry.

The calculation puts the total magnetization at 0.00 Bohr magnetons per cell. As for the density of states at the Fermi level: 1.652 states/eV per atom. The space-group type is C2/m (12).

a = 12.3917 Å, b = 12.3917 Å, c = 8.7604 Å
α = 94.10°, β = 94.10°, γ = 16.57°
Last column: nearest neighbours and their distance in Å.
Element x y z (fractional)
Pr  0.0412  0.0412  0.3420  4 Y 3.50-3.67, 7 Pr 3.54-3.71
Pr  0.4105  0.4105  0.3019  1 Sm 3.44, 5 Y 3.56-3.68, 6 Pr 3.57-3.71
Pr  0.5895  0.5895  0.6981  1 Sm 3.44, 5 Y 3.56-3.68, 6 Pr 3.57-3.71
Pr  0.9588  0.9588  0.6580  4 Y 3.50-3.67, 7 Pr 3.54-3.71
Sm  0.2748  0.2748  0.1726  1 Pr 3.44, 6 Y 3.51-3.65, 4 Sm 3.57-3.64
Sm  0.7252  0.7252  0.8274  1 Pr 3.44, 6 Y 3.51-3.65, 4 Sm 3.57-3.64
Y  0.1317  0.1317  0.0509  3 Pr 3.50-3.65, 5 Y 3.57-3.84, 3 Sm 3.59-3.60
Y  0.1870  0.1870  0.4719  3 Sm 3.51-3.65, 5 Y 3.57-3.84, 3 Pr 3.67-3.68
Y  0.5000  0.5000  0.0000  6 Pr 3.56-3.57, 6 Y 3.57-3.69
Y  0.8130  0.8130  0.5281  3 Sm 3.51-3.65, 5 Y 3.57-3.84, 3 Pr 3.67-3.68
Y  0.8683  0.8683  0.9491  3 Pr 3.50-3.65, 5 Y 3.57-3.84, 3 Sm 3.59-3.60


Entry Q
VASP calculation (PBE) on crystalline Pr4Sm2Y5 at its relaxed geometry.

The calculation puts the total magnetization at 0.00 Bohr magnetons per cell. As for the density of states at the Fermi level: 1.895 states/eV per atom. The space-group type is C2/m (12).

a = 10.3048 Å, b = 10.3048 Å, c = 6.4348 Å
α = 94.45°, β = 94.45°, γ = 33.43°
Last column: nearest neighbours and their distance in Å.
Element x y z (fractional)
Pr  0.0358  0.0358  0.2679  5 Y 3.33-3.58, 2 Pr 3.41-3.62, 2 Sm 3.61
Pr  0.3084  0.3084  0.9295  8 Y 3.46-3.78, 2 Sm 3.69-3.73
Pr  0.6916  0.6916  0.0705  8 Y 3.46-3.78, 2 Sm 3.69-3.73
Pr  0.9642  0.9642  0.7321  5 Y 3.33-3.58, 2 Pr 3.41-3.62, 2 Sm 3.61
Sm  0.4026  0.4026  0.4567  7 Y 3.59-3.95, 4 Pr 3.61-3.73, 1 Sm 3.84
Sm  0.5974  0.5974  0.5433  7 Y 3.59-3.95, 4 Pr 3.61-3.73, 1 Sm 3.84
Y  0.1318  0.1318  0.8478  5 Pr 3.33-3.48, 1 Y 3.49, 2 Sm 3.59
Y  0.2158  0.2158  0.3909  4 Y 3.49-3.75, 5 Pr 3.58-3.78, 1 Sm 3.68
Y  0.5000  0.5000  0.0000  6 Pr 3.47-3.77, 4 Sm 3.64-3.85
Y  0.7842  0.7842  0.6091  4 Y 3.49-3.75, 5 Pr 3.58-3.78, 1 Sm 3.68
Y  0.8682  0.8682  0.1522  5 Pr 3.33-3.48, 1 Y 3.49, 2 Sm 3.59


Need the numbers? Relative energies in eV/atom: entry P 0.013; entry Q 0.000.